1.
! PBE CaCeCuPd, optimized geometry; values from VASP
&SYSTEM
  ibrav = 0, nat = 4, ntyp = 4
/
ATOMIC_SPECIES
Ca 40.08 Ca.upf
Ce 140.12 Ce.upf
Cu 63.55 Cu.upf
Pd 106.42 Pd.upf
ATOMIC_POSITIONS crystal
Ca 0.0000 0.0000 0.0000
Ce 0.5000 0.5000 0.5000
Cu 0.2500 0.2500 0.2500
Pd 0.7500 0.7500 0.7500
CELL_PARAMETERS angstrom
0.0000 3.5544 3.5544
3.5544 0.0000 3.5544
3.5544 3.5544 0.0000
! - raw total energy (eV per atom) = -4.647
! - symmetry = F-43m (216)
! - Fermi-level density of states (states/eV/f.u.) = 8.691

---

2.
! PBE CaCeCuPt, optimized geometry; values from VASP
&SYSTEM
  ibrav = 0, nat = 4, ntyp = 4
/
ATOMIC_SPECIES
Ca 40.08 Ca.upf
Ce 140.12 Ce.upf
Cu 63.55 Cu.upf
Pt 195.08 Pt.upf
ATOMIC_POSITIONS crystal
Ca 0.0000 0.0000 0.0000
Ce 0.5000 0.5000 0.5000
Cu 0.7500 0.7500 0.7500
Pt 0.2500 0.2500 0.2500
CELL_PARAMETERS angstrom
0.0000 3.5310 3.5310
3.5310 0.0000 3.5310
3.5310 3.5310 0.0000
! - raw total energy (eV per atom) = -5.047
! - symmetry = F-43m (216)
! - Fermi-level density of states (states/eV/f.u.) = 7.526

---

3.
! PBE CaCeCuRu, optimized geometry; values from VASP
&SYSTEM
  ibrav = 0, nat = 4, ntyp = 4
/
ATOMIC_SPECIES
Ca 40.08 Ca.upf
Ce 140.12 Ce.upf
Cu 63.55 Cu.upf
Ru 101.07 Ru.upf
ATOMIC_POSITIONS crystal
Ca 0.0000 0.0000 0.0000
Ce 0.5000 0.5000 0.5000
Cu 0.7500 0.7500 0.7500
Ru 0.2500 0.2500 0.2500
CELL_PARAMETERS angstrom
0.0000 3.4611 3.4611
3.4611 0.0000 3.4611
3.4611 3.4611 0.0000
! - raw total energy (eV per atom) = -5.376
! - symmetry = F-43m (216)
! - Fermi-level density of states (states/eV/f.u.) = 4.265

---

4.
! PBE CaCe2CuS5, optimized geometry; values from VASP
&SYSTEM
  ibrav = 0, nat = 18, ntyp = 4
/
ATOMIC_SPECIES
Ca 40.08 Ca.upf
Ce 140.12 Ce.upf
Cu 63.55 Cu.upf
S 32.06 S.upf
ATOMIC_POSITIONS crystal
Ca 0.2500 0.2500 0.0000
Ca 0.7500 0.7500 0.0000
Ce 0.1580 0.6580 0.8160
Ce 0.3420 0.1580 0.5000
Ce 0.6580 0.8420 0.5000
Ce 0.8420 0.3420 0.1840
Cu 0.2500 0.7500 0.5000
Cu 0.7500 0.2500 0.5000
S 0.0000 0.0000 0.0000
S 0.0195 0.2046 0.5000
S 0.2046 0.7046 0.1851
S 0.2954 0.4805 0.5000
S 0.4805 0.9805 0.1851
S 0.5000 0.5000 0.0000
S 0.5195 0.0195 0.8149
S 0.7046 0.5195 0.5000
S 0.7954 0.2954 0.8149
S 0.9805 0.7954 0.5000
CELL_PARAMETERS angstrom
-3.8333 3.8333 6.5300
3.8333 -3.8333 6.5300
3.8333 3.8333 -6.5300
! - symmetry = I4/mcm (140)
! - Fermi-level density of states (states/eV/f.u.) = 6.114
! - formation energy from raw total energies (eV/atom) = -1.6126

---

5.
! PBE CaCeCuS4, optimized geometry; values from VASP
&SYSTEM
  ibrav = 0, nat = 14, ntyp = 4
/
ATOMIC_SPECIES
Ca 40.08 Ca.upf
Ce 140.12 Ce.upf
Cu 63.55 Cu.upf
S 32.06 S.upf
ATOMIC_POSITIONS crystal
Ca 0.2203 0.2500 0.4353
Ca 0.7797 0.7500 0.5647
Ce 0.2342 0.2500 0.9343
Ce 0.7658 0.7500 0.0657
Cu 0.2531 0.7500 0.1898
Cu 0.7469 0.2500 0.8102
S 0.0629 0.7500 0.3757
S 0.0770 0.7500 0.9050
S 0.4812 0.5159 0.7535
S 0.4812 0.9841 0.7535
S 0.5188 0.0159 0.2465
S 0.5188 0.4841 0.2465
S 0.9230 0.2500 0.0950
S 0.9371 0.2500 0.6243
CELL_PARAMETERS angstrom
6.8140 0.0000 0.0000
0.0000 5.4842 0.0000
-2.4081 0.0000 7.7379
! - symmetry = P2_1/m (11)
! - Fermi-level density of states (states/eV/f.u.) = 2.845
! - formation energy from raw total energies (eV/atom) = -1.4015

---

6.
! PBE CaCeCu2Se4, optimized geometry; values from VASP
&SYSTEM
  ibrav = 0, nat = 8, ntyp = 4
/
ATOMIC_SPECIES
Ca 40.08 Ca.upf
Ce 140.12 Ce.upf
Cu 63.55 Cu.upf
Se 78.96 Se.upf
ATOMIC_POSITIONS crystal
Ca 0.0000 0.0000 0.0000
Ce 0.5000 0.5000 0.0000
Cu 0.3295 0.8295 0.5000
Cu 0.6705 0.1705 0.5000
Se 0.0522 0.0353 0.5051
Se 0.4699 0.9647 0.0169
Se 0.5301 0.5470 0.4949
Se 0.9478 0.4530 0.9831
CELL_PARAMETERS angstrom
-3.4159 3.4968 3.8695
3.4159 -3.4968 3.8695
3.4159 3.4968 -3.8695
! - symmetry = I222 (23)
! - Fermi-level density of states (states/eV/f.u.) = 5.122
! - formation energy from raw total energies (eV/atom) = -1.0101

---

7.
! PBE CaCeCu2Si2, optimized geometry; values from VASP
&SYSTEM
  ibrav = 0, nat = 6, ntyp = 4
/
ATOMIC_SPECIES
Ca 40.08 Ca.upf
Ce 140.12 Ce.upf
Cu 63.55 Cu.upf
Si 28.09 Si.upf
ATOMIC_POSITIONS crystal
Ca 0.0000 0.0000 0.0000
Ce 0.0000 0.0000 0.5000
Cu 0.3333 0.6667 0.7479
Cu 0.6667 0.3333 0.2521
Si 0.3333 0.6667 0.2678
Si 0.6667 0.3333 0.7322
CELL_PARAMETERS angstrom
4.1855 0.0000 0.0000
-2.0927 3.6247 0.0000
0.0000 0.0000 7.7781
! - symmetry = P-3m1 (164)
! - Fermi-level density of states (states/eV/f.u.) = 1.877
! - formation energy from raw total energies (eV/atom) = -0.5290

---

8.
! PBE CaCeCuSi, optimized geometry; values from VASP
&SYSTEM
  ibrav = 0, nat = 4, ntyp = 4
/
ATOMIC_SPECIES
Ca 40.08 Ca.upf
Ce 140.12 Ce.upf
Cu 63.55 Cu.upf
Si 28.09 Si.upf
ATOMIC_POSITIONS crystal
Ca 0.0000 0.0000 0.0000
Ce 0.5000 0.5000 0.5000
Cu 0.2500 0.2500 0.2500
Si 0.7500 0.7500 0.7500
CELL_PARAMETERS angstrom
0.0000 3.5619 3.5619
3.5619 0.0000 3.5619
3.5619 3.5619 0.0000
! - symmetry = F-43m (216)
! - Fermi-level density of states (states/eV/f.u.) = 7.230
! - formation energy from raw total energies (eV/atom) = -0.2865

---

9.
! PBE CaCe2Cu2Si2, optimized geometry; values from VASP
&SYSTEM
  ibrav = 0, nat = 7, ntyp = 4
/
ATOMIC_SPECIES
Ca 40.08 Ca.upf
Ce 140.12 Ce.upf
Cu 63.55 Cu.upf
Si 28.09 Si.upf
ATOMIC_POSITIONS crystal
Ca 0.0000 0.0000 0.0000
Ce 0.1392 0.1392 0.1392
Ce 0.8608 0.8608 0.8608
Cu 0.4070 0.4070 0.4070
Cu 0.5930 0.5930 0.5930
Si 0.2587 0.2587 0.2587
Si 0.7413 0.7413 0.7413
CELL_PARAMETERS angstrom
2.0997 1.2122 9.2171
-2.0997 1.2122 9.2171
0.0000 -2.4245 9.2171
! - symmetry = R-3m (166)
! - Fermi-level density of states (states/eV/f.u.) = 8.412
! - formation energy from raw total energies (eV/atom) = -0.4201

---

10.
! PBE CaCeCuSn, optimized geometry; values from VASP
&SYSTEM
  ibrav = 0, nat = 4, ntyp = 4
/
ATOMIC_SPECIES
Ca 40.08 Ca.upf
Ce 140.12 Ce.upf
Cu 63.55 Cu.upf
Sn 118.71 Sn.upf
ATOMIC_POSITIONS crystal
Ca 0.0000 0.0000 0.0000
Ce 0.5000 0.5000 0.5000
Cu 0.7500 0.7500 0.7500
Sn 0.2500 0.2500 0.2500
CELL_PARAMETERS angstrom
0.0000 3.7341 3.7341
3.7341 0.0000 3.7341
3.7341 3.7341 0.0000
! - raw total energy (eV per atom) = -4.350
! - symmetry = F-43m (216)
! - Fermi-level density of states (states/eV/f.u.) = 8.402

---

11.
! PBE CaCeTlCu, optimized geometry; values from VASP
&SYSTEM
  ibrav = 0, nat = 4, ntyp = 4
/
ATOMIC_SPECIES
Ca 40.08 Ca.upf
Ce 140.12 Ce.upf
Tl 204.38 Tl.upf
Cu 63.55 Cu.upf
ATOMIC_POSITIONS crystal
Ca 0.0000 0.0000 0.0000
Ce 0.5000 0.5000 0.5000
Tl 0.7500 0.7500 0.7500
Cu 0.2500 0.2500 0.2500
CELL_PARAMETERS angstrom
0.0000 3.7394 3.7394
3.7394 0.0000 3.7394
3.7394 3.7394 0.0000
! - raw total energy (eV per atom) = -3.749
! - symmetry = F-43m (216)
! - Fermi-level density of states (states/eV/f.u.) = 7.671

---

12.
! PBE CaCeZnCu, optimized geometry; values from VASP
&SYSTEM
  ibrav = 0, nat = 4, ntyp = 4
/
ATOMIC_SPECIES
Ca 40.08 Ca.upf
Ce 140.12 Ce.upf
Zn 65.41 Zn.upf
Cu 63.55 Cu.upf
ATOMIC_POSITIONS crystal
Ca 0.0000 0.0000 0.0000
Ce 0.5000 0.5000 0.5000
Zn 0.7500 0.7500 0.7500
Cu 0.2500 0.2500 0.2500
CELL_PARAMETERS angstrom
0.0000 3.5969 3.5969
3.5969 0.0000 3.5969
3.5969 3.5969 0.0000
! - raw total energy (eV per atom) = -3.442
! - symmetry = F-43m (216)
! - Fermi-level density of states (states/eV/f.u.) = 7.305